MgBeBr PBE relaxed; E_tot = -6.4 eV per formula unit; raw formation energy = 0.19 eV/atom; energy above the most stable polymorph in this dataset = 69 meV per atom; mass density = 2897 kg/m³
1.0
-1.6762 1.6762 5.7753
1.6762 -1.6762 5.7753
1.6762 1.6762 -5.7753
Mg Be Br
1 1 1
Cartesian
0.0000 0.0000 0.0000
0.0000 0.0000 4.4927
0.0000 0.0000 7.4349